Below is MoNO2 after structural relaxation, with properties calculated at the GGA+U level. Values from VASP.

## Properties
The calculation puts the total energy at -4.952 eV/atom. For the density, the calculation gives 5.5 g/cm³. The value obtained for the total moment is 1.83 μB/f.u.

```
&SYSTEM
  ibrav = 0, nat = 4, ntyp = 3
/
ATOMIC_SPECIES
N 14.01 N.upf
O 16.00 O.upf
Mo 95.94 Mo.upf
CELL_PARAMETERS angstrom
1.665 0.000 5.995
-0.833 1.442 5.995
-0.833 -1.442 5.995
ATOMIC_POSITIONS crystal
N 0.500 0.500 0.500
O 0.106 0.106 0.106
Mo 0.000 0.000 0.000
O 0.894 0.894 0.894
```